10
Lattice="-2.522 0.504 3.801 2.925 -0.433 1.998 0.797 13.985 -1.325" Properties=species:S:1:pos:R:3 comment="PmThZn3, optimized geometry, DFT PBE" space_group="Cmcm (63)" e_tot_ev_per_fu=-17.33 total_magnetization_mub_per_cell=0.00 pbc="T T T"
Zn -0.324 0.803 3.835
Zn 1.599 4.584 1.839
Zn -0.399 9.472 2.636
Zn 0.102 3.400 3.773
Th -0.306 2.104 0.903
Pm 2.153 7.962 1.759
Zn 1.524 13.254 0.640
Th 1.506 11.953 3.571
Zn 1.097 10.657 0.701
Pm -0.953 6.095 2.716